# 1
A PBEsol-optimized structure of Na2HgSe2, computed with SCAN.

Cell lengths 5.555, 5.797, 5.555 Å; angles 61.37, 90.00, 118.63 degrees
Fractional coordinates of all 5 atoms:
Hg: 0.000 0.000 0.000
Na: 0.250 0.500 0.250
Se: 0.356 0.713 0.644
Na: 0.750 0.500 0.750
Se: 0.644 0.287 0.356

Computed properties:
* total energy: -24.09 eV/atom

---

# 2
A PBEsol-optimized structure of NaSiHg3, computed with SCAN.

Cell lengths 5.076, 5.076, 5.076 Å; angles 90.00, 90.00, 90.00 degrees
Fractional coordinates of all 5 atoms:
Na: 0.500 0.500 0.500
Hg: 0.000 0.000 0.500
Si: 0.000 0.000 0.000
Hg: 0.000 0.500 0.000
Hg: 0.500 0.000 0.000

Computed properties:
* total energy: -43.69 eV/atom
* ΔE to the lowest computed polymorph: 0.000 eV/atom

---

# 3
A PBEsol-optimized structure of NaSiHg3, computed with SCAN.

Cell lengths 5.192, 5.192, 5.192 Å; angles 90.00, 90.00, 90.00 degrees
Fractional coordinates of all 5 atoms:
Hg: 0.500 0.000 0.000
Hg: 0.000 0.500 0.000
Na: 0.000 0.000 0.000
Si: 0.500 0.500 0.500
Hg: 0.000 0.000 0.500

Computed properties:
* total energy: -42.96 eV/atom
* ΔE to the lowest computed polymorph: 0.730 eV/atom

---

# 4
A PBEsol-optimized structure of Na2SnHg, computed with SCAN.

Cell lengths 5.077, 5.077, 5.077 Å; angles 60.00, 60.00, 60.00 degrees
Fractional coordinates of all 4 atoms:
Sn: 0.000 0.000 0.000
Na: 0.250 0.250 0.250
Na: 0.500 0.500 0.500
Hg: 0.750 0.750 0.750

Computed properties:
* total energy: -28.45 eV/atom
* energy relative to the elements: -30.8 kJ/mol of atoms

---

# 5
A PBEsol-optimized structure of NaSr2Hg2, computed with SCAN.

Cell lengths 4.419, 8.558, 8.558 Å; angles 90.00, 90.00, 90.00 degrees
Fractional coordinates of all 10 atoms:
Sr: 0.500 0.336 0.164
Sr: 0.500 0.836 0.336
Sr: 0.500 0.164 0.664
Na: 0.000 0.500 0.500
Hg: 0.000 0.368 0.868
Hg: 0.000 0.868 0.632
Hg: 0.000 0.132 0.368
Na: 0.000 0.000 0.000
Sr: 0.500 0.664 0.836
Hg: 0.000 0.632 0.132

Computed properties:
* total energy: -37.56 eV/atom
* energy relative to the elements: -52.2 kJ/mol of atoms

---

# 6
A PBEsol-optimized structure of Na2SrHg2, computed with SCAN.

Cell lengths 4.335, 8.297, 8.297 Å; angles 90.00, 90.00, 90.00 degrees
Fractional coordinates of all 10 atoms:
Na: 0.500 0.339 0.161
Hg: 0.000 0.873 0.627
Hg: 0.000 0.627 0.127
Na: 0.500 0.161 0.661
Na: 0.500 0.661 0.839
Hg: 0.000 0.373 0.873
Hg: 0.000 0.127 0.373
Na: 0.500 0.839 0.339
Sr: 0.000 0.000 0.000
Sr: 0.000 0.500 0.500

Computed properties:
* total energy: -33.74 eV/atom
* ΔE to the lowest computed polymorph: 0.067 eV/atom
* energy relative to the elements: -32.4 kJ/mol of atoms

---

# 7
A PBEsol-optimized structure of Na2SrHg2, computed with SCAN.

Cell lengths 4.490, 4.490, 7.887 Å; angles 106.54, 106.54, 90.00 degrees
Fractional coordinates of all 5 atoms:
Hg: 0.400 0.400 0.800
Na: 0.250 0.750 0.500
Hg: 0.600 0.600 0.200
Na: 0.750 0.250 0.500
Sr: 0.000 0.000 0.000

Computed properties:
* total energy: -33.81 eV/atom
* ΔE to the lowest computed polymorph: 0.000 eV/atom
* energy relative to the elements: -38.9 kJ/mol of atoms

---

# 8
A PBEsol-optimized structure of NaSrHg2, computed with SCAN.

Cell lengths 5.363, 5.363, 5.363 Å; angles 60.00, 60.00, 60.00 degrees
Fractional coordinates of all 4 atoms:
Na: 0.000 0.000 0.000
Hg: 0.750 0.750 0.750
Hg: 0.250 0.250 0.250
Sr: 0.500 0.500 0.500

Computed properties:
* total energy: -41.20 eV/atom
* energy relative to the elements: -47.7 kJ/mol of atoms

---

# 9
A PBEsol-optimized structure of NaTcHg3, computed with SCAN.

Cell lengths 5.214, 5.214, 5.214 Å; angles 90.00, 90.00, 90.00 degrees
Fractional coordinates of all 5 atoms:
Hg: 0.500 0.000 0.000
Hg: 0.000 0.500 0.000
Hg: 0.000 0.000 0.500
Na: 0.500 0.500 0.500
Tc: 0.000 0.000 0.000

Computed properties:
* total energy: -48.40 eV/atom
* energy relative to the elements: 34.5 kJ/mol of atoms

---

# 10
A PBEsol-optimized structure of NaTiTcHg2, computed with SCAN.

Cell lengths 5.063, 5.063, 5.063 Å; angles 90.00, 90.00, 90.00 degrees
Fractional coordinates of all 5 atoms:
Tc: 0.500 0.500 0.500
Hg: 0.000 0.500 0.000
Hg: 0.500 0.000 0.000
Ti: 0.000 0.000 0.000
Na: 0.000 0.000 0.500

Computed properties:
* total energy: -36.95 eV/atom
* energy relative to the elements: 132.5 kJ/mol of atoms

---

# 11
A PBEsol-optimized structure of Na3HgTe, computed with SCAN.

Cell lengths 5.487, 5.487, 5.487 Å; angles 90.00, 90.00, 90.00 degrees
Fractional coordinates of all 5 atoms:
Hg: 0.000 0.000 0.000
Na: 0.000 0.500 0.000
Na: 0.500 0.000 0.000
Te: 0.500 0.500 0.500
Na: 0.000 0.000 0.500

Computed properties:
* total energy: -23.85 eV/atom

---

# 12
A PBEsol-optimized structure of NaTl2Hg2, computed with SCAN.

Cell lengths 3.825, 8.377, 8.377 Å; angles 90.00, 90.00, 90.00 degrees
Fractional coordinates of all 10 atoms:
Hg: 0.500 0.660 0.840
Na: 0.000 0.000 0.000
Tl: 0.000 0.640 0.140
Na: 0.000 0.500 0.500
Hg: 0.500 0.340 0.160
Tl: 0.000 0.140 0.360
Tl: 0.000 0.860 0.640
Tl: 0.000 0.360 0.860
Hg: 0.500 0.160 0.660
Hg: 0.500 0.840 0.340

Computed properties:
* total energy: -57.15 eV/atom
* energy relative to the elements: -9.2 kJ/mol of atoms

---

# 13
A PBEsol-optimized structure of Na2TlHg, computed with SCAN.

Cell lengths 5.150, 5.150, 5.150 Å; angles 60.00, 60.00, 60.00 degrees
Fractional coordinates of all 4 atoms:
Tl: 0.000 0.000 0.000
Hg: 0.750 0.750 0.750
Na: 0.250 0.250 0.250
Na: 0.500 0.500 0.500

Computed properties:
* total energy: -37.51 eV/atom
* energy relative to the elements: -26.4 kJ/mol of atoms

---

# 14
A PBEsol-optimized structure of NaTl2Hg, computed with SCAN.

Cell lengths 6.255, 6.776, 6.776 Å; angles 77.70, 62.51, 62.51 degrees
Fractional coordinates of all 8 atoms:
Tl: 0.649 0.976 0.476
Tl: 0.375 0.524 0.976
Na: 0.250 0.500 0.500
Na: 0.500 0.000 0.000
Tl: 0.101 0.024 0.524
Tl: 0.875 0.476 0.024
Hg: 0.750 0.500 0.500
Hg: 0.000 0.000 0.000

Computed properties:
* total energy: -54.36 eV/atom
* energy relative to the elements: -8.6 kJ/mol of atoms